Si3Ag | PBE | optimized geometry

a = 4.766 Å, b = 4.766 Å, c = 4.766 Å
α = 128.24°, β = 128.24°, γ = 76.23°
Element x y z (fractional)
Si 0.000 0.000 0.000
Si 0.250 0.750 0.500
Si 0.750 0.250 0.500
Ag 0.500 0.500 0.000


SiAg | PBE | optimized geometry

a = 4.608 Å, b = 4.608 Å, c = 4.608 Å
α = 60.00°, β = 60.00°, γ = 60.00°
Element x y z (fractional)
Si 0.125 0.125 0.125
Si 0.875 0.875 0.875
Ag 0.375 0.375 0.375
Ag 0.625 0.625 0.625


Si3Ag | PBE | optimized geometry

a = 2.823 Å, b = 3.905 Å, c = 5.899 Å
α = 90.00°, β = 90.00°, γ = 90.00°
Element x y z (fractional)
Si 0.000 0.000 0.000
Si 0.500 0.500 0.218
Si 0.500 0.500 0.782
Ag 0.000 0.000 0.500


SiAg2 | PBE | optimized geometry

a = 5.145 Å, b = 5.145 Å, c = 4.626 Å
α = 90.00°, β = 90.00°, γ = 56.42°
Element x y z (fractional)
Si 0.166 0.834 0.750
Si 0.834 0.166 0.250
Ag 0.153 0.526 0.250
Ag 0.474 0.847 0.250
Ag 0.526 0.153 0.750
Ag 0.847 0.474 0.750


no.,formation energy without anion corrections (eV/f.u.),ΔE to the lowest computed polymorph (kcal/mol of atoms)
1,2.2,6.01
2,1.0,6.13
3,2.0,5.03
4,0.7,0.81